This record from Alexandria describes SiRu2W after structural relaxation. The functional is PBE.

Uncorrected formation energy (kJ per mole of atoms): -13
Total DFT energy (no corrections) (eV/atom): -9.37
Space group: No. 25

Cell: 2.8377 3.8981 5.2076 Å, 90.00 90.00 90.00°
Fractional coordinates of all 4 atoms:
Ru 0.0000 0.0000 0.9694
Ru 0.5000 0.5000 0.2978
Si 0.0000 0.0000 0.4698
W 0.5000 0.5000 0.7629


This record from Alexandria describes AcPr4SmHo2 after structural relaxation. The functional is PBE.

Energy of formation from the pure elements (eV per atom): 0.0311
Total DFT energy (no corrections) (eV/atom): -4.61
Space group: No. 12

Cell: 5.2254 6.3853 9.7777 Å, 89.59 74.50 65.85°
Fractional coordinates of all 8 atoms:
Ac 0.5000 0.5000 0.5000
Pr 0.1226 0.1246 0.6301
Pr 0.3733 0.3753 0.8781
Pr 0.8774 0.8754 0.3699
Pr 0.6267 0.6247 0.1219
Sm 0.0000 0.0000 0.0000
Ho 0.7439 0.7567 0.7555
Ho 0.2561 0.2433 0.2445


This record from Alexandria describes AcCe2ReC4 after structural relaxation. The functional is PBE.

Energy of formation from the pure elements (eV per atom): -0.0235
Total DFT energy (no corrections) (eV/atom): -8.19
Space group: No. 63

Cell: 3.6296 6.5473 12.5598 Å, 90.00 90.00 106.09°
Fractional coordinates of all 16 atoms:
Ac 0.0957 0.1915 0.7500
Ac 0.9043 0.8085 0.2500
Ce 0.3701 0.7402 0.5404
Ce 0.6299 0.2598 0.0404
Ce 0.6299 0.2598 0.4596
Ce 0.3701 0.7402 0.9596
Re 0.8324 0.6649 0.7500
Re 0.1676 0.3351 0.2500
C 0.2579 0.5158 0.1281
C 0.7421 0.4842 0.6281
C 0.7421 0.4842 0.8719
C 0.2579 0.5158 0.3719
C 0.0000 0.0000 0.5000
C 0.0000 0.0000 0.0000
C 0.4078 0.8156 0.7500
C 0.5922 0.1844 0.2500


This record from Alexandria describes Ag2Hg4Br9 after structural relaxation. The functional is PBE.

Uncorrected formation energy (kJ per mole of atoms): -33
Total DFT energy (no corrections) (eV/atom): -1.81
Space group: No. 2

Cell: 7.3353 7.7596 22.6691 Å, 96.51 73.61 62.53°
Fractional coordinates of all 30 atoms:
Ag 0.9985 0.0550 0.3794
Ag 0.9482 0.0831 0.0983
Ag 0.0015 0.9450 0.6206
Ag 0.0518 0.9169 0.9017
Hg 0.3494 0.3090 0.0042
Hg 0.2977 0.4305 0.4412
Hg 0.6506 0.6910 0.9958
Hg 0.3660 0.2248 0.2207
Hg 0.7023 0.5695 0.5588
Hg 0.6552 0.6070 0.2847
Hg 0.3448 0.3930 0.7153
Hg 0.6340 0.7752 0.7793
Br 0.9417 0.3957 0.7535
Br 0.2650 0.7940 0.7680
Br 0.6909 0.0663 0.7448
Br 0.0583 0.6043 0.2465
Br 0.7350 0.2060 0.2320
Br 0.3091 0.9337 0.2552
Br 0.6193 0.0586 0.4059
Br 0.9330 0.4318 0.4233
Br 0.2998 0.7535 0.4164
Br 0.5992 0.0701 0.0798
Br 0.3092 0.7242 0.0802
Br 0.9591 0.4170 0.0804
Br 0.3807 0.9414 0.5941
Br 0.0670 0.5682 0.5767
Br 0.7002 0.2465 0.5836
Br 0.4008 0.9299 0.9202
Br 0.6908 0.2758 0.9198
Br 0.0409 0.5830 0.9196


This record from Alexandria describes SrPmBr5 after structural relaxation. The functional is PBE.

Uncorrected formation energy (kJ per mole of atoms): -188
Total DFT energy (no corrections) (eV/atom): -4.06
Space group: No. 11

Cell: 4.3875 8.4957 14.1141 Å, 93.31 90.00 90.00°
Fractional coordinates of all 14 atoms:
Sr 0.7500 0.0859 0.1414
Sr 0.2500 0.9141 0.8586
Pm 0.2500 0.4233 0.3508
Pm 0.7500 0.5767 0.6492
Br 0.2500 0.0830 0.3178
Br 0.7500 0.1444 0.9268
Br 0.7500 0.3222 0.4812
Br 0.2500 0.3615 0.1442
Br 0.2500 0.3755 0.7001
Br 0.7500 0.6245 0.2999
Br 0.7500 0.6385 0.8558
Br 0.2500 0.6778 0.5188
Br 0.2500 0.8556 0.0732
Br 0.7500 0.9170 0.6822


This record from Alexandria describes AlHgSb2C after structural relaxation. The functional is PBE.

Uncorrected formation energy (kJ per mole of atoms): 164
Total DFT energy (no corrections) (eV/atom): -2.60
Space group: No. 123

Cell: 5.2893 5.1214 5.2893 Å, 90.00 90.00 90.00°
Fractional coordinates of all 5 atoms:
Sb 0.0000 0.0000 0.5000
Sb 0.5000 0.0000 0.0000
C 0.5000 0.5000 0.5000
Hg 0.0000 0.5000 0.0000
Al 0.0000 0.0000 0.0000


This record from Alexandria describes TcOs2 after structural relaxation. The functional is PBE.

Energy of formation from the pure elements (eV per atom): -0.0724
Total DFT energy (no corrections) (eV/atom): -11.01
Space group: No. 63

Cell: 2.7526 4.3668 7.2892 Å, 90.00 100.88 90.00°
Fractional coordinates of all 6 atoms:
Tc 0.1112 0.2500 0.2224
Tc 0.8888 0.7500 0.7776
Os 0.4443 0.2500 0.8886
Os 0.5557 0.7500 0.1114
Os 0.7782 0.2500 0.5565
Os 0.2218 0.7500 0.4435


This record from Alexandria describes Tb5Dy5Bi6 after structural relaxation. The functional is PBE.

Energy of formation from the pure elements (eV per atom): -0.6984
Total DFT energy (no corrections) (eV/atom): -5.04
Space group: No. 38

Cell: 6.3841 9.2040 9.2040 Å, 120.06 90.00 90.00°
Fractional coordinates of all 16 atoms:
Tb 0.7500 0.3333 0.6664
Tb 0.7500 0.6664 0.3333
Tb 0.2500 0.6664 0.3333
Tb 0.2500 0.3333 0.6664
Tb 0.0000 0.2435 0.2435
Dy 0.0000 0.7563 0.0001
Dy 0.0000 0.0001 0.7563
Dy 0.5000 0.7570 0.7570
Dy 0.5000 0.2437 0.9999
Dy 0.5000 0.9999 0.2437
Bi 0.0000 0.6120 0.6120
Bi 0.0000 0.3886 0.9995
Bi 0.0000 0.9995 0.3886
Bi 0.5000 0.3885 0.3885
Bi 0.5000 0.6115 0.0000
Bi 0.5000 0.0000 0.6115


This record from Alexandria describes MgZn2Au2 after structural relaxation. The functional is PBE.

Energy of formation from the pure elements (eV per atom): -0.3159
Total DFT energy (no corrections) (eV/atom): -2.46
Space group: No. 139

Cell: 3.6788 3.6788 7.1818 Å, 75.16 75.16 90.00°
Fractional coordinates of all 5 atoms:
Zn 0.7500 0.2500 0.5000
Zn 0.2500 0.7500 0.5000
Au 0.3973 0.3973 0.2054
Au 0.6027 0.6027 0.7946
Mg 0.0000 0.0000 0.0000


This record from Alexandria describes Sn2Cl8F after structural relaxation. The functional is PBE.

Uncorrected formation energy (kJ per mole of atoms): -88
Total DFT energy (no corrections) (eV/atom): -3.15
Space group: No. 12

Cell: 8.2969 7.1142 7.1142 Å, 83.26 80.22 80.22°
Fractional coordinates of all 11 atoms:
Sn 0.2256 0.8531 0.8531
Sn 0.7744 0.1469 0.1469
Cl 0.7227 0.8397 0.2755
Cl 0.2773 0.7245 0.1603
Cl 0.5018 0.7107 0.7107
Cl 0.4982 0.2893 0.2893
Cl 0.7227 0.2755 0.8397
Cl 0.2773 0.1603 0.7245
Cl 0.0690 0.6985 0.6985
Cl 0.9310 0.3015 0.3015
F 0.0000 0.0000 0.0000


Asked for M_tot across the records above, the calculation gives 0.0, 0.0, 0.0, 0.0, 0.0, 1.2, 0.0, 0.7, 0.0, 1.2 μB/f.u. in order.